Below is an optimized crystal structure of Tl5Zn3Hg12, with properties calculated at the PBE level.

The structure in POSCAR format:
```
Tl5Zn3Hg12
1.0
14.9649 0.0000 0.0000
-4.9883 14.1090 0.0000
-4.9883 -7.0545 12.2188
Zn Tl Hg
12 20 48
Cartesian
8.7295 4.4091 1.5273
8.7295 9.6999 1.5273
-1.2471 6.1727 7.6367
1.2471 -0.8818 4.5820
11.2237 0.0000 3.0547
1.2471 7.0545 3.0547
3.7412 0.0000 9.1641
-6.2354 7.0545 9.1641
3.7412 7.9363 7.6367
6.2354 0.8818 4.5820
-3.7412 -2.6454 10.6914
-3.7412 2.6454 10.6914
-1.2471 3.5273 3.0547
-2.4941 7.0545 0.0000
0.0000 0.0000 0.0000
3.7412 2.6454 1.5273
4.9883 -3.5273 6.1094
4.9883 7.0545 0.0000
-3.7412 7.9363 4.5820
6.2354 -4.4091 10.6914
6.2354 6.1727 4.5820
1.2471 -3.5273 9.1641
3.7412 10.5818 3.0547
2.4941 3.5273 6.1094
7.4824 0.0000 0.0000
-2.4941 -3.5273 6.1094
-1.2471 0.8818 7.6367
-1.2471 11.4636 1.5273
-4.9883 3.5273 6.1094
8.7295 -0.8818 7.6367
1.2471 4.4091 10.6914
6.2354 3.5273 9.1641
10.1205 1.3040 0.9361
-0.1439 4.9899 5.4481
10.7063 3.4140 3.1110
6.7527 2.5400 1.5973
2.1441 5.7988 8.1717
10.2124 6.6274 2.0623
-0.7298 7.9284 4.7083
-4.2585 11.5690 1.5973
0.3501 8.3102 8.1717
7.2466 7.4817 2.0623
7.3386 3.3686 4.5121
7.3386 12.8050 0.9361
-4.6382 6.4491 7.0454
2.7300 5.4820 1.4011
-4.8444 10.7404 4.5121
2.3503 -2.0646 6.7706
-0.3501 0.6503 2.9984
2.7300 9.0541 0.6612
6.7527 10.6950 3.1110
-0.2358 5.0549 0.6612
-2.8442 7.7048 9.2204
3.2239 6.1806 4.7083
7.1324 7.6600 7.0454
5.2241 -1.5725 10.8177
1.7644 0.8739 7.5105
-2.1441 -0.6054 5.1733
-0.2358 8.6270 1.4011
-1.7644 -3.6405 9.1078
7.8325 -0.6503 2.9984
5.2241 1.9996 11.5575
2.2583 -1.9996 11.5575
2.6380 9.1191 5.4481
5.3383 6.4042 9.2204
9.8327 -3.6859 7.7067
9.6265 0.6054 5.1733
-2.3503 -5.7505 11.2827
2.2583 1.5725 10.8177
4.6382 -1.2557 4.0470
-2.2583 -0.4272 10.1564
-2.3503 3.6859 7.7067
9.2468 -4.5145 10.6215
5.7180 -0.8739 7.5105
-1.7644 4.5145 10.6215
-5.2241 0.4272 10.1564
2.8442 1.2557 4.0470
-5.7180 3.6405 9.1078
5.1322 2.0646 6.7706
-5.1322 5.7505 11.2827
```

Calculated values
N(E_F)   39.12 states/eV/cell
Spin magnetization   0.00 μB per cell
V   2579.86 Å³/cell
Formation energy   153 meV per atom

Below is an optimized crystal structure of TlZnHg2, with properties calculated at the PBE level.

The structure in POSCAR format:
```
TlZnHg2
1.0
-0.8484 -1.1760 -5.0309
2.8223 -3.7476 -2.3244
-2.2448 -4.5531 -1.2816
Hg Tl Zn
2 1 1
Cartesian
0.0000 0.0000 0.0000
-0.0677 -2.3692 -2.1592
-0.1355 -4.7383 -4.3184
-0.2032 -7.1075 -6.4777
```

Calculated values
N(E_F)   1.23 states/eV/cell
Spin magnetization   0.00 μB per cell
V   101.49 Å³/cell
Formation energy   106 meV per atom

Below is an optimized crystal structure of Tl2ZnHg, with properties calculated at the PBE level.

The structure in POSCAR format:
```
Tl2ZnHg
1.0
-4.7517 1.8174 -3.5123
-0.5028 -2.9065 -5.4331
0.0668 -0.7572 6.1352
Hg Tl Zn
1 2 1
Cartesian
-1.5316 -2.1041 -1.8853
-5.1086 -1.0588 -8.6970
-2.7732 -0.5748 -4.7211
-3.6561 0.2578 -0.9249
```

Calculated values
N(E_F)   1.59 states/eV/cell
Spin magnetization   0.00 μB per cell
V   107.21 Å³/cell
Formation energy   114 meV per atom